Below is a geometry-optimized K2Mo3O9 structure, with properties calculated at the GGA+U level.

## Properties
total energy: -6.502 eV per atom
space group: C2/m (12)

Cell and atoms, written as POSCAR:
```
K2Mo3O9
1.0
-5.419 -2.165 6.717
-5.258 2.293 -6.703
4.988 -7.127 -1.473
O Mo K
18 6 4
Direct
0.143 0.907 0.512
0.857 0.093 0.488
0.857 0.488 0.093
0.292 0.309 0.309
0.708 0.691 0.691
0.749 0.894 0.072
0.567 0.187 0.364
0.433 0.813 0.636
0.433 0.636 0.813
0.251 0.928 0.106
0.822 0.257 0.257
0.749 0.072 0.894
0.500 0.818 0.182
0.143 0.512 0.907
0.500 0.182 0.818
0.567 0.364 0.187
0.251 0.106 0.928
0.178 0.743 0.743
0.706 0.282 0.051
0.294 0.718 0.949
0.294 0.949 0.718
0.706 0.051 0.282
0.379 0.179 0.179
0.621 0.821 0.821
0.210 0.571 0.263
0.790 0.737 0.429
0.210 0.263 0.571
0.790 0.429 0.737
```